# Tl2Cd2In5Pb2 GGA-PBE relaxed
data_Tl2Cd2In5Pb2
_cell_length_a 4.536
_cell_length_b 4.536
_cell_length_c 37.249
_cell_angle_alpha 90.00
_cell_angle_beta 90.00
_cell_angle_gamma 90.00
_space_group_name_H-M_alt 'I 4/m m m'
_space_group_IT_number 139
_space_group_name_Hall '-I 4 2'
loop_
_atom_site_label
_atom_site_type_symbol
_atom_site_fract_x
_atom_site_fract_y
_atom_site_fract_z
Tl1 Tl 0.000 0.000 0.216
Cd1 Cd 0.000 0.000 0.074
In1 In 0.000 0.000 0.000
In2 In 0.000 0.500 0.129
Pb1 Pb 0.000 0.000 0.309
# Energy (eV/atom): -2.342
# Fermi-level density of states (states/eV/atom): 0.569
# E_form (eV per atom): 0.17